(1)
Below is a geometry-optimized LaV2Pd structure, with properties calculated at the PBE level.

Cell: 10.7219 10.7219 10.7219 Å, 158.15 158.15 31.09°
With the nearest neighbours (Å) after each atom.
Positions (direct):
La  0.0000  0.0000  0.0000  4 Pd 2.87
La  0.7500  0.2500  0.5000  4 Pd 2.87
V  0.2776  0.6250  0.1526  2 V 2.18
V  0.3750  0.5276  0.6526  2 V 2.18
V  0.4724  0.1250  0.8474  2 V 2.18
V  0.8750  0.7224  0.3474  2 V 2.18
Pd  0.2500  0.7500  0.5000  4 V 2.80, 4 La 2.87
Pd  0.5000  0.5000  0.0000  4 V 2.80, 4 La 2.87

## Properties
The energy relative to the elements comes out at 0.39 eV/atom. As for the calculated total energy: -6.6957 eV/atom. Its density of states at the Fermi level is 1.0596 states/eV per atom.



(2)
Below is a geometry-optimized LiTa2ReH structure, with properties calculated at the PBE level.

Cell: 4.3939 4.3939 3.3520 Å, 90.00 90.00 90.00°
With the nearest neighbours (Å) after each atom.
Positions (direct):
Li  0.0000  0.0000  0.0000  2 H 1.68
Ta  0.0000  0.5000  0.5000  2 H 2.20
Ta  0.5000  0.0000  0.5000  2 H 2.20
Re  0.5000  0.5000  0.0000  8 Ta 2.76
H  0.0000  0.0000  0.5000  2 Li 1.68

## Properties
As for the calculated total energy: -8.2964 eV/atom. Its density of states at the Fermi level is 0.8208 states/eV per atom.



no.,calculated density (g/cm³)
1,6.760
2,14.268